This record from Alexandria describes La4Sm2Th3 after structural relaxation. The functional is PBE-GGA.

Cell lengths 3.6110, 3.6111, 27.5796 Å; angles 90.00, 90.00, 120.00 degrees
Atoms (fractional coordinates):
La 0.0000 0.0000 0.5475
La 0.6667 0.3333 0.4282
La 0.6667 0.3333 0.2132
La 0.0000 0.0000 0.7636
Sm 0.6667 0.3333 0.0878
Sm 0.6667 0.3333 0.8771
Th 0.0000 0.0000 0.9840
Th 0.0000 0.0000 0.3208
Th 0.6667 0.3333 0.6550

Values from the calculation:
Polymorph energy (0 for the lowest one) ... 0.0 meV per atom
E_form ... 0.7 eV/f.u.
VASP energy ... -5.63 eV/atom
Total magnetization ... 0.000 μB per formula unit